Arrangement a

A geometry-optimized BaTb2Th structure. Source: the Alexandria database, functional PBE.

Summary:
total moment	0.0	μB per cell

Unit cell a=3.6852 b=3.6852 c=10.9390 alpha=90.00 beta=90.00 gamma=90.00
Space group P4/mmm (No. 123)
Unique sites:
Ba: 0.0000 0.0000 0.0000 x1
Tb: 0.5000 0.5000 0.2893 x2
Th: 0.0000 0.0000 0.5000 x1

Arrangement b

A geometry-optimized BaTb2Th structure. Source: the Alexandria database, functional PBE.

Summary:
total moment	0.0	μB per cell

Unit cell a=3.6367 b=3.6367 c=38.3588 alpha=90.00 beta=90.00 gamma=120.00
Space group R-3m (No. 166, hexagonal axes)
Unique sites:
Ba: 0.0000 0.0000 0.0000 x3
Tb: 0.0000 0.0000 0.0949 x6
Th: 0.0000 0.0000 0.5000 x3

arrangement a is the most stable structure; the next one sits 81 meV per atom above it.